# 1
DFT (PBE) results for an optimized crystal structure of ZnTe.

Summary:
- E (eV per cell) = -8.1
- symmetry = Pmma

a b c (Å): 5.418 3.256 5.244
angles (deg): 90.00 90.00 90.00
Element x y z (fractional)
Te1 0.419 0.500 0.000
Te2 0.914 0.500 0.500
Zn1 0.922 0.000 0.000
Zn2 0.411 0.000 0.500

***

# 2
DFT (PBE) results for an optimized crystal structure of ZrTcSb2.

Summary:
- E (eV per cell) = -26.7
- symmetry = F-43m

a b c (Å): 4.898 4.898 4.898
angles (deg): 60.00 60.00 60.00
Element x y z (fractional)
Zr1 0.250 0.250 0.250
Sb1 0.000 0.000 0.000
Sb2 0.750 0.750 0.750
Tc1 0.500 0.500 0.500

***

# 3
DFT (PBE) results for an optimized crystal structure of Nb2Mo4P3C3.

Summary:
- E (eV per cell) = -223.7
- symmetry = C2/c

a b c (Å): 5.567 5.567 12.149
angles (deg): 103.35 103.35 59.99
Element x y z (fractional)
Nb1 0.636 0.467 0.897
Nb2 0.467 0.636 0.397
Nb3 0.533 0.364 0.603
Nb4 0.364 0.533 0.103
Mo1 0.806 0.961 0.407
Mo2 0.194 0.039 0.593
Mo3 0.961 0.806 0.907
Mo4 0.872 0.696 0.594
Mo5 0.039 0.194 0.093
Mo6 0.128 0.304 0.406
Mo7 0.304 0.128 0.906
Mo8 0.696 0.872 0.094
C1 0.335 0.827 0.000
C2 0.665 0.173 0.000
C3 0.000 0.500 0.000
C4 0.827 0.335 0.500
C5 0.500 0.000 0.500
C6 0.173 0.665 0.500
P1 0.416 0.233 0.249
P2 0.767 0.584 0.251
P3 0.584 0.767 0.751
P4 0.936 0.064 0.750
P5 0.064 0.936 0.250
P6 0.233 0.416 0.749

***

# 4
DFT (PBE) results for an optimized crystal structure of ZnGaCoAg.

Summary:
- E (eV per cell) = -13.7
- symmetry = F-43m
- distance to the lowest polymorph of the same formula (meV per atom) = 87

a b c (Å): 4.332 4.332 4.332
angles (deg): 60.00 60.00 60.00
Element x y z (fractional)
Zn1 0.250 0.250 0.250
Co1 0.750 0.750 0.750
Ga1 0.000 0.000 0.000
Ag1 0.500 0.500 0.500